# 1
The following is a DFT calculation (PBE) of a relaxed structure of NaCa3Dy3S8.

## Properties
- crystal system = trigonal
- ΔE_f (raw) (eV/atom) = -1.954
- volume (Å³/atom) = 23.632

a = 7.9232 Å, b = 7.9232 Å, c = 19.5592 Å
α = 90.00°, β = 90.00°, γ = 120.00°
Last column: nearest neighbours and their distance in Å.
Space group R-3m (No. 166, hexagonal axes)
Asymmetric unit:
Na (0.0000, 0.0000, 0.0000)  6 S 2.82
Ca (0.0000, 0.5000, 0.5000)  6 S 2.84-2.87
Dy (0.0000, 0.5000, 0.0000)  6 S 2.75-2.78
S (0.0000, 0.0000, 0.2525)  3 Dy 2.78, 3 Ca 2.84
S (0.0083, 0.5041, 0.2536)  2 Dy 2.75, 1 Na 2.82, 2 Ca 2.87



# 2
The following is a DFT calculation (PBE) of a relaxed structure of NaCa3Dy2S6.

## Properties
- crystal system = monoclinic
- density of states at the Fermi level (states/eV/f.u.) = 3.434
- ΔE_f (raw) (eV/atom) = -2.010
- volume (Å³/atom) = 22.469

a = 6.9187 Å, b = 11.9691 Å, c = 6.9082 Å
α = 90.00°, β = 109.50°, γ = 90.00°
Last column: nearest neighbours and their distance in Å.
Space group C2/m (No. 12)
Asymmetric unit:
Na (0.0000, 0.0000, 0.0000)  6 S 2.85-2.86
Ca (0.0000, 0.1637, 0.5000)  6 S 2.81-2.87
Ca (0.0000, 0.5000, 0.5000)  6 S 2.79-2.87
Dy (0.0000, 0.3328, 0.0000)  6 S 2.77-2.78
S (0.2387, 0.5000, 0.2441)  2 Dy 2.78, 3 Ca 2.79-2.85, 1 Na 2.85
S (0.2465, 0.3285, 0.7550)  2 Dy 2.77-2.78, 3 Ca 2.81-2.87, 1 Na 2.86



# 3
The following is a DFT calculation (PBE) of a relaxed structure of NaCa4Dy3S8.

## Properties
- crystal system = trigonal
- density of states at the Fermi level (states/eV/f.u.) = 3.915
- ΔE_f (raw) (eV/atom) = -2.024
- volume (Å³/atom) = 22.260

a = 7.9485 Å, b = 7.9485 Å, c = 19.5275 Å
α = 90.00°, β = 90.00°, γ = 120.00°
Last column: nearest neighbours and their distance in Å.
Space group R-3m (No. 166, hexagonal axes)
Asymmetric unit:
Na (0.0000, 0.0000, 0.0000)  6 S 2.83
Ca (0.0000, 0.0000, 0.5000)  6 S 2.80
Ca (0.0000, 0.5000, 0.5000)  6 S 2.84-2.85
Dy (0.0000, 0.5000, 0.0000)  6 S 2.77-2.79
S (0.0000, 0.0000, 0.2522)  3 Dy 2.79, 3 Ca 2.84
S (0.0063, 0.5031, 0.2518)  2 Dy 2.77, 3 Ca 2.80-2.85, 1 Na 2.83



# 4
The following is a DFT calculation (PBE) of a relaxed structure of NaCa2DySe4.

## Properties
- crystal system = monoclinic
- ΔE_f (raw) (eV/atom) = -1.831
- volume (Å³/atom) = 25.912

a = 7.1951 Å, b = 4.1927 Å, c = 7.2507 Å
α = 90.00°, β = 108.61°, γ = 90.00°
Last column: nearest neighbours and their distance in Å.
Space group P2/m (No. 10)
Asymmetric unit:
Na (0.0000, 0.0000, 0.0000)  6 Se 2.94-3.01
Ca (0.5000, 0.0000, 0.5000)  6 Se 2.93-2.94
Ca (0.5000, 0.5000, 0.0000)  6 Se 3.00-3.02
Dy (0.0000, 0.5000, 0.5000)  6 Se 2.87-2.92
Se (0.2417, 0.0000, 0.7412)  2 Dy 2.92, 3 Ca 2.93-3.02, 1 Na 2.94
Se (0.2499, 0.5000, 0.2607)  1 Dy 2.87, 3 Ca 2.94-3.00, 2 Na 3.01



# 5
The following is a DFT calculation (PBE) of a relaxed structure of NaCa4Dy3Se8.

## Properties
- crystal system = trigonal
- density of states at the Fermi level (states/eV/f.u.) = 3.792
- ΔE_f (raw) (eV/atom) = -1.867
- volume (Å³/atom) = 25.277

a = 8.2932 Å, b = 8.2932 Å, c = 20.3698 Å
α = 90.00°, β = 90.00°, γ = 120.00°
Last column: nearest neighbours and their distance in Å.
Space group R-3m (No. 166, hexagonal axes)
Asymmetric unit:
Na (0.0000, 0.0000, 0.0000)  6 Se 2.94
Ca (0.0000, 0.0000, 0.5000)  6 Se 2.93
Ca (0.0000, 0.5000, 0.5000)  6 Se 2.96-2.97
Dy (0.0000, 0.5000, 0.0000)  6 Se 2.90-2.91
Se (0.0000, 0.0000, 0.2519)  3 Dy 2.91, 3 Ca 2.96
Se (0.0049, 0.5025, 0.2519)  2 Dy 2.90, 3 Ca 2.93-2.97, 1 Na 2.94



# 6
The following is a DFT calculation (PBE) of a relaxed structure of NaCa2DyTe4.

## Properties
- crystal system = monoclinic
- ΔE_f (raw) (eV/atom) = -1.448
- volume (Å³/atom) = 31.946

a = 7.7137 Å, b = 4.4896 Å, c = 7.7896 Å
α = 90.00°, β = 108.67°, γ = 90.00°
Last column: nearest neighbours and their distance in Å.
Space group P2/m (No. 10)
Asymmetric unit:
Na (0.0000, 0.0000, 0.0000)  6 Te 3.15-3.21
Ca (0.5000, 0.0000, 0.5000)  6 Te 3.15-3.16
Ca (0.5000, 0.5000, 0.0000)  6 Te 3.21-3.24
Dy (0.0000, 0.5000, 0.5000)  6 Te 3.09-3.13
Te (0.2417, 0.0000, 0.7422)  2 Dy 3.13, 1 Na 3.15, 3 Ca 3.15-3.24
Te (0.2488, 0.5000, 0.2585)  1 Dy 3.09, 3 Ca 3.16-3.21, 2 Na 3.21



# 7
The following is a DFT calculation (PBE) of a relaxed structure of NaCa3Dy3Te8.

## Properties
- crystal system = trigonal
- ΔE_f (raw) (eV/atom) = -1.395
- volume (Å³/atom) = 32.930

a = 8.8483 Å, b = 8.8483 Å, c = 21.8555 Å
α = 90.00°, β = 90.00°, γ = 120.00°
Last column: nearest neighbours and their distance in Å.
Space group R-3m (No. 166, hexagonal axes)
Asymmetric unit:
Na (0.0000, 0.0000, 0.0000)  6 Te 3.20
Ca (0.0000, 0.5000, 0.5000)  6 Te 3.17-3.20
Dy (0.0000, 0.5000, 0.0000)  6 Te 3.08-3.11
Te (0.0000, 0.0000, 0.2522)  3 Dy 3.11, 3 Ca 3.17
Te (0.0124, 0.5062, 0.2515)  2 Dy 3.08, 1 Na 3.20, 2 Ca 3.20



# 8
The following is a DFT calculation (PBE) of a relaxed structure of NaCaDyTl.

## Properties
- crystal system = cubic
- DFT formation energy (eV/atom) = -0.114
- density of states at the Fermi level (states/eV/f.u.) = 3.652
- volume (Å³/atom) = 29.138

a = 7.7540 Å, b = 7.7540 Å, c = 7.7540 Å
α = 90.00°, β = 90.00°, γ = 90.00°
Last column: nearest neighbours and their distance in Å.
Space group F-43m (No. 216)
Asymmetric unit:
Na (0.0000, 0.0000, 0.0000)  4 Dy 3.36, 4 Ca 3.36
Ca (0.2500, 0.2500, 0.7500)  4 Tl 3.36, 4 Na 3.36
Dy (0.2500, 0.2500, 0.2500)  4 Tl 3.36, 4 Na 3.36
Tl (0.0000, 0.0000, 0.5000)  4 Ca 3.36, 4 Dy 3.36



# 9
The following is a DFT calculation (PBE) of a relaxed structure of CaDy2Nb.

## Properties
- crystal system = trigonal
- DFT formation energy (eV/atom) = 0.637
- density of states at the Fermi level (states/eV/f.u.) = 7.513
- volume (Å³/atom) = 28.610

a = 3.3088 Å, b = 3.3088 Å, c = 36.2093 Å
α = 90.00°, β = 90.00°, γ = 120.00°
Last column: nearest neighbours and their distance in Å.
Space group R-3m (No. 166, hexagonal axes)
Asymmetric unit:
Ca (0.0000, 0.0000, 0.0000)  6 Ca 3.31, 6 Dy 3.68
Dy (0.0000, 0.0000, 0.4202)  1 Nb 2.89
Nb (0.0000, 0.0000, 0.5000)  2 Dy 2.89



# 10
The following is a DFT calculation (PBE) of a relaxed structure of CaNd3Dy4.

## Properties
- crystal system = monoclinic
- DFT formation energy (eV/atom) = 0.231
- density of states at the Fermi level (states/eV/f.u.) = 12.531
- volume (Å³/atom) = 34.521

a = 26.4070 Å, b = 5.7643 Å, c = 3.6286 Å
α = 90.00°, β = 90.07°, γ = 90.00°
Last column: nearest neighbours and their distance in Å.
Space group C2/m (No. 12)
Asymmetric unit:
Ca (0.0000, 0.0000, 0.0000)  4 Dy 3.31, 4 Nd 3.41, 2 Ca 3.63
Nd (0.0000, 0.5000, 0.5000)  4 Ca 3.41, 2 Nd 3.63
Nd (0.1541, 0.5000, 0.0002)  2 Nd 3.63, 10 Dy 3.64-3.87
Dy (0.1049, 0.0000, 0.5003)  1 Dy 3.15, 2 Ca 3.31
Dy (0.2241, 0.0000, 0.5010)  3 Dy 3.15-3.19